Entry 1:
The following is a PBE-GGA calculation of a relaxed Rb2ErCuBr6 crystal, from OQMD.

electronic total energy: -3.499 eV per atom

abc: 7.741 7.741 7.741
angles: 120.17 120.17 89.71
Sites, in units of the cell vectors:
1 Rb 0.250 0.750 0.500
2 Rb 0.750 0.250 0.500
3 Er 0.000 0.000 0.000
4 Cu 0.500 0.500 0.000
5 Br 0.253 0.253 0.000
6 Br 0.254 0.254 0.508
7 Br 0.254 0.746 0.000
8 Br 0.746 0.254 0.000
9 Br 0.746 0.746 0.492
10 Br 0.747 0.747 0.000

Entry 2:
The following is a PBE-GGA calculation of a relaxed CuPbBrF2 crystal, from OQMD.

electronic total energy: -3.851 eV per atom

abc: 6.376 6.376 5.601
angles: 90.00 90.00 127.98
Sites, in units of the cell vectors:
1 Cu 0.083 0.917 0.750
2 Cu 0.917 0.083 0.250
3 Pb 0.375 0.625 0.750
4 Pb 0.625 0.375 0.250
5 Br 0.250 0.750 0.250
6 Br 0.750 0.250 0.750
7 F 0.244 0.244 0.000
8 F 0.244 0.244 0.500
9 F 0.756 0.756 0.000
10 F 0.756 0.756 0.500

Entry 3:
The following is a PBE-GGA calculation of a relaxed FeCuIBr3 crystal, from OQMD.

electronic total energy: -3.480 eV per atom

abc: 5.868 5.915 6.768
angles: 114.56 115.47 90.13
Sites, in units of the cell vectors:
1 Fe 0.000 0.000 0.000
2 Cu 0.260 0.769 0.513
3 I 0.386 0.379 0.257
4 Br 0.123 0.652 0.758
5 Br 0.640 0.119 0.757
6 Br 0.897 0.893 0.258

Entry 4:
The following is a PBE-GGA calculation of a relaxed Tl2FeCuBr6 crystal, from OQMD.

electronic total energy: -3.206 eV per atom

abc: 7.330 7.330 7.330
angles: 60.00 60.00 60.00
Sites, in units of the cell vectors:
1 Tl 0.250 0.250 0.250
2 Tl 0.750 0.750 0.750
3 Fe 0.000 0.000 0.000
4 Cu 0.500 0.500 0.500
5 Br 0.247 0.247 0.753
6 Br 0.247 0.753 0.247
7 Br 0.247 0.753 0.753
8 Br 0.753 0.247 0.247
9 Br 0.753 0.247 0.753
10 Br 0.753 0.753 0.247

Entry 5:
The following is a PBE-GGA calculation of a relaxed GaCuI2Br2 crystal, from OQMD.

electronic total energy: -2.721 eV per atom

abc: 8.632 11.194 6.034
angles: 90.00 134.18 90.00
Sites, in units of the cell vectors:
1 Ga 0.000 0.000 0.000
2 Ga 0.500 0.500 0.000
3 Cu 0.000 0.245 0.500
4 Cu 0.500 0.745 0.500
5 I 0.246 0.870 0.496
6 I 0.254 0.370 0.504
7 I 0.746 0.370 0.496
8 I 0.754 0.870 0.504
9 Br 0.220 0.123 0.984
10 Br 0.280 0.623 0.016
11 Br 0.720 0.623 0.984
12 Br 0.780 0.123 0.016

Entry 6:
The following is a PBE-GGA calculation of a relaxed GaCuIBr3 crystal, from OQMD.

electronic total energy: -2.806 eV per atom

abc: 5.950 6.004 6.853
angles: 65.67 64.51 89.90
Sites, in units of the cell vectors:
1 Ga 0.000 0.000 0.000
2 Cu 0.256 0.760 0.495
3 I 0.384 0.375 0.742
4 Br 0.111 0.651 0.249
5 Br 0.636 0.107 0.250
6 Br 0.892 0.888 0.748

Entry 7:
The following is a PBE-GGA calculation of a relaxed GaCuI2Br2 crystal, from OQMD.

electronic total energy: -2.721 eV per atom

abc: 6.101 6.108 6.930
angles: 114.74 114.20 90.33
Sites, in units of the cell vectors:
1 Ga 0.000 0.000 0.000
2 Cu 0.246 0.761 0.500
3 I 0.370 0.375 0.256
4 I 0.627 0.123 0.743
5 Br 0.109 0.656 0.750
6 Br 0.896 0.887 0.250

Entry 8:
The following is a PBE-GGA calculation of a relaxed K2GaCuBr6 crystal, from OQMD.

electronic total energy: -2.894 eV per atom

abc: 7.411 7.411 7.411
angles: 60.00 60.00 60.00
Sites, in units of the cell vectors:
1 K 0.250 0.250 0.250
2 K 0.750 0.750 0.750
3 Ga 0.000 0.000 0.000
4 Cu 0.500 0.500 0.500
5 Br 0.250 0.250 0.750
6 Br 0.250 0.750 0.250
7 Br 0.250 0.750 0.750
8 Br 0.750 0.250 0.250
9 Br 0.750 0.250 0.750
10 Br 0.750 0.750 0.250

> Number 8 is which compound?

K2GaCuBr6